Run A
FeMo2O2: optimized geometry, GGA+U. Values from VASP.

Properties
SG = I4/mmm, No. 139
Magnetic moment = 0.727 μB per atom

```
&SYSTEM
  ibrav = 0, nat = 5, ntyp = 3
/
ATOMIC_SPECIES
Mo 95.94 Mo.upf
Fe 55.84 Fe.upf
O 16.00 O.upf
ATOMIC_POSITIONS crystal
Mo 0.631 0.631 0.737
Fe 0.000 0.000 0.000
Mo 0.369 0.369 0.263
O 0.250 0.750 0.500
O 0.750 0.250 0.500
CELL_PARAMETERS angstrom
3.496 0.000 0.000
0.000 3.496 0.000
1.748 1.748 5.207
```



Run B
FeMo2O2: optimized geometry, GGA+U. Values from VASP.

Properties
SG = P4/mbm, No. 127
Magnetic moment = 0.531 μB per atom

```
&SYSTEM
  ibrav = 0, nat = 10, ntyp = 3
/
ATOMIC_SPECIES
Mo 95.94 Mo.upf
O 16.00 O.upf
Fe 55.84 Fe.upf
ATOMIC_POSITIONS crystal
Mo 0.822 0.678 0.000
O 0.130 0.630 0.500
O 0.630 0.870 0.500
Fe 0.000 0.000 0.000
O 0.370 0.130 0.500
Mo 0.322 0.822 0.000
O 0.870 0.370 0.500
Mo 0.178 0.322 0.000
Fe 0.500 0.500 0.000
Mo 0.678 0.178 0.000
CELL_PARAMETERS angstrom
6.759 0.000 0.000
0.000 6.759 0.000
0.000 0.000 2.638
```



Of them, run A has the highest stability.



Run A
FeMoP2O: optimized geometry, GGA+U. Values from VASP.

Properties
SG = P4/mmm, No. 123
Magnetic moment = 0.847 μB per atom

```
&SYSTEM
  ibrav = 0, nat = 5, ntyp = 4
/
ATOMIC_SPECIES
Mo 95.94 Mo.upf
P 30.97 P.upf
O 16.00 O.upf
Fe 55.84 Fe.upf
ATOMIC_POSITIONS crystal
Mo 0.000 0.000 0.000
P 0.000 0.500 0.000
O 0.000 0.000 0.500
P 0.500 0.000 0.000
Fe 0.500 0.500 0.500
CELL_PARAMETERS angstrom
4.867 0.000 0.000
0.000 4.867 0.000
0.000 0.000 3.768
```



Run B
FeMoP2O: optimized geometry, GGA+U. Values from VASP.

Properties
SG = P4/mmm, No. 123
Magnetic moment = 0.974 μB per atom

```
&SYSTEM
  ibrav = 0, nat = 5, ntyp = 4
/
ATOMIC_SPECIES
Mo 95.94 Mo.upf
P 30.97 P.upf
Fe 55.84 Fe.upf
O 16.00 O.upf
ATOMIC_POSITIONS crystal
Mo 0.500 0.500 0.500
P 0.000 0.500 0.000
Fe 0.000 0.000 0.000
O 0.000 0.000 0.500
P 0.500 0.000 0.000
CELL_PARAMETERS angstrom
4.736 0.000 0.000
0.000 4.736 0.000
0.000 0.000 3.529
```



Of them, run A has the highest stability.



Run A
FeMoPO2: optimized geometry, GGA+U. Values from VASP.

Properties
SG = P4/mmm, No. 123
Magnetic moment = 0.848 μB per atom

```
&SYSTEM
  ibrav = 0, nat = 5, ntyp = 4
/
ATOMIC_SPECIES
P 30.97 P.upf
O 16.00 O.upf
Mo 95.94 Mo.upf
Fe 55.84 Fe.upf
ATOMIC_POSITIONS crystal
P 0.000 0.000 0.500
O 0.500 0.000 0.000
Mo 0.000 0.000 0.000
Fe 0.500 0.500 0.500
O 0.000 0.500 0.000
CELL_PARAMETERS angstrom
3.817 0.000 0.000
0.000 3.817 0.000
0.000 0.000 5.282
```



Run B
FeMoPO2: optimized geometry, GGA+U. Values from VASP.

Properties
SG = P4/mmm, No. 123
Magnetic moment = 1.340 μB per atom

```
&SYSTEM
  ibrav = 0, nat = 5, ntyp = 4
/
ATOMIC_SPECIES
Mo 95.94 Mo.upf
O 16.00 O.upf
P 30.97 P.upf
Fe 55.84 Fe.upf
ATOMIC_POSITIONS crystal
Mo 0.500 0.500 0.500
O 0.500 0.000 0.000
O 0.000 0.500 0.000
P 0.000 0.000 0.500
Fe 0.000 0.000 0.000
CELL_PARAMETERS angstrom
3.771 0.000 0.000
0.000 3.771 0.000
0.000 0.000 4.925
```



Of them, run A has the highest stability.



Run A
Sr2FeMoO6: optimized geometry, GGA+U. Values from VASP.

Properties
SG = P2_1/c, No. 14
Magnetic moment = 0.600 μB per atom

```
&SYSTEM
  ibrav = 0, nat = 20, ntyp = 4
/
ATOMIC_SPECIES
Fe 55.84 Fe.upf
O 16.00 O.upf
Sr 87.62 Sr.upf
Mo 95.94 Mo.upf
ATOMIC_POSITIONS crystal
Fe 0.000 0.500 0.500
O 0.946 0.504 0.243
O 0.236 0.234 0.030
O 0.764 0.766 0.970
O 0.554 0.004 0.257
Sr 0.006 0.988 0.250
O 0.054 0.496 0.757
Sr 0.994 0.012 0.750
O 0.266 0.735 0.029
O 0.736 0.266 0.530
O 0.446 0.996 0.743
Sr 0.494 0.488 0.250
O 0.766 0.765 0.529
O 0.264 0.734 0.470
O 0.734 0.265 0.971
Fe 0.500 0.000 0.000
Sr 0.506 0.512 0.750
Mo 0.500 0.000 0.500
O 0.234 0.235 0.471
Mo 0.000 0.500 0.000
CELL_PARAMETERS angstrom
5.709 0.000 -0.008
0.000 5.696 0.000
0.041 0.000 7.886
```



Run B
Sr2FeMoO6: optimized geometry, GGA+U. Values from VASP.

Properties
SG = I4/mmm, No. 139
Magnetic moment = 0.400 μB per atom

```
&SYSTEM
  ibrav = 0, nat = 10, ntyp = 4
/
ATOMIC_SPECIES
Mo 95.94 Mo.upf
O 16.00 O.upf
Sr 87.62 Sr.upf
Fe 55.84 Fe.upf
ATOMIC_POSITIONS crystal
Mo 0.000 0.500 0.500
O 0.501 0.750 0.750
Sr 0.500 0.750 0.250
Fe 0.000 0.000 0.000
O 0.000 0.744 0.744
O 0.000 0.256 0.256
Sr 0.500 0.250 0.750
O 0.499 0.250 0.250
O 0.000 0.250 0.750
O 0.000 0.750 0.250
CELL_PARAMETERS angstrom
-3.287 4.314 1.575
2.510 -3.155 3.955
4.968 1.063 -2.466
```



Of them, run A has the highest stability.